# PuMn2AgO8 | the Alexandria database | PBE with a Hubbard U | optimized geometry
# Mass density: 5.92 Mg/m³
# E: -7.234 eV per atom
data_PuMn2AgO8
_chemical_formula_sum 'Pu2 Mn4 Ag2 O16'
_cell_length_a 7.094
_cell_length_b 7.094
_cell_length_c 6.571
_cell_angle_alpha 90.00
_cell_angle_beta 90.00
_cell_angle_gamma 90.00
_space_group_name_H-M_alt 'I -4 m 2'
_space_group_IT_number 119
_space_group_name_Hall 'I -4 -2'
loop_
_atom_site_label
_atom_site_type_symbol
_atom_site_fract_x
_atom_site_fract_y
_atom_site_fract_z
Pu1 Pu 0.000 0.000 0.000
Mn1 Mn 0.000 0.000 0.500
Mn2 Mn 0.000 0.500 0.250
Ag1 Ag 0.000 0.500 0.750
O1 O 0.000 0.182 0.661
O2 O 0.000 0.274 0.056



# Rb2MnAgO4 | the Alexandria database | PBE with a Hubbard U | optimized geometry
# Mass density: 4.40 Mg/m³
# E: -5.104 eV per atom
data_Rb2MnAgO4
_chemical_formula_sum 'Rb4 Mn2 Ag2 O8'
_cell_length_a 6.356
_cell_length_b 6.356
_cell_length_c 7.433
_cell_angle_alpha 90.00
_cell_angle_beta 90.00
_cell_angle_gamma 90.00
_space_group_name_H-M_alt 'I -4'
_space_group_IT_number 82
loop_
_space_group_symop_operation_xyz
'x,y,z'
'y,-x,-z'
'-x,-y,z'
'-y,x,-z'
'x+1/2,y+1/2,z+1/2'
'y+1/2,-x+1/2,-z+1/2'
'-x+1/2,-y+1/2,z+1/2'
'-y+1/2,x+1/2,-z+1/2'
loop_
_atom_site_label
_atom_site_type_symbol
_atom_site_fract_x
_atom_site_fract_y
_atom_site_fract_z
Rb1 Rb 0.000 0.000 0.000
Rb2 Rb 0.000 0.500 0.250
Mn1 Mn 0.000 0.500 0.750
Ag1 Ag 0.000 0.000 0.500
O1 O 0.124 0.313 0.617



# Mn2Ag2RuO6 | the Alexandria database | PBE with a Hubbard U | optimized geometry
# Mass density: 6.04 Mg/m³
# E: -6.324 eV per atom
data_Mn2Ag2RuO6
_chemical_formula_sum 'Mn4 Ag4 Ru2 O12'
_cell_length_a 5.279
_cell_length_b 9.310
_cell_length_c 6.245
_cell_angle_alpha 90.00
_cell_angle_beta 110.53
_cell_angle_gamma 90.00
_space_group_name_H-M_alt 'C 1 2/m 1'
_space_group_IT_number 12
loop_
_space_group_symop_operation_xyz
'x,y,z'
'-x,-y,-z'
'-x,y,-z'
'x,-y,z'
'x+1/2,y+1/2,z'
'-x+1/2,-y+1/2,-z'
'-x+1/2,y+1/2,-z'
'x+1/2,-y+1/2,z'
loop_
_atom_site_label
_atom_site_type_symbol
_atom_site_fract_x
_atom_site_fract_y
_atom_site_fract_z
Mn1 Mn 0.000 0.164 0.000
Ag1 Ag 0.000 0.183 0.500
Ru1 Ru 0.000 0.500 0.000
O1 O 0.105 0.337 0.827
O2 O 0.109 0.000 0.807



# MnAgRu2O | the Alexandria database | PBE with a Hubbard U | optimized geometry
# Mass density: 6.19 Mg/m³
# E: -4.660 eV per atom
data_MnAgRu2O
_chemical_formula_sum 'Mn1 Ag1 Ru2 O1'
_cell_length_a 4.562
_cell_length_b 4.562
_cell_length_c 4.912
_cell_angle_alpha 90.00
_cell_angle_beta 90.00
_cell_angle_gamma 90.00
_space_group_name_H-M_alt 'P 4/m m m'
_space_group_IT_number 123
_space_group_name_Hall '-P 4 2'
loop_
_atom_site_label
_atom_site_type_symbol
_atom_site_fract_x
_atom_site_fract_y
_atom_site_fract_z
Mn1 Mn 0.000 0.000 0.000
Ag1 Ag 0.000 0.000 0.500
Ru1 Ru 0.000 0.500 0.000
O1 O 0.500 0.500 0.500



# MnAgS2O8 | the Alexandria database | PBE with a Hubbard U | optimized geometry
# Mass density: 3.91 Mg/m³
# E: -5.909 eV per atom
data_MnAgS2O8
_chemical_formula_sum 'Mn3 Ag3 S6 O24'
_cell_length_a 4.7429
_cell_length_b 4.7429
_cell_length_c 23.2273
_cell_angle_alpha 90.00
_cell_angle_beta 90.00
_cell_angle_gamma 120.00
_space_group_name_H-M_alt 'R -3'
_space_group_IT_number 148
_space_group_name_Hall '-R 3'
loop_
_atom_site_label
_atom_site_type_symbol
_atom_site_fract_x
_atom_site_fract_y
_atom_site_fract_z
Mn1 Mn 0.0000 0.0000 0.0000
Ag1 Ag 0.0000 0.0000 0.5000
S1 S 0.0000 0.0000 0.2604
O1 O 0.0000 0.0000 0.1972
O2 O 0.0225 0.3845 0.3846



# MnAg2SO6 | the Alexandria database | PBE with a Hubbard U | optimized geometry
# Mass density: 4.65 Mg/m³
# E: -5.297 eV per atom
data_MnAg2SO6
_chemical_formula_sum 'Mn1 Ag2 S1 O6'
_cell_length_a 5.7522
_cell_length_b 5.7522
_cell_length_c 4.9668
_cell_angle_alpha 90.00
_cell_angle_beta 90.00
_cell_angle_gamma 120.00
_space_group_name_H-M_alt 'P -3 m 1'
_space_group_IT_number 164
_space_group_name_Hall '-P 3 2"'
loop_
_atom_site_label
_atom_site_type_symbol
_atom_site_fract_x
_atom_site_fract_y
_atom_site_fract_z
Mn1 Mn 0.0000 0.0000 0.0000
Ag1 Ag 0.3333 0.6667 0.5510
S1 S 0.0000 0.0000 0.5000
O1 O 0.1348 0.2695 0.2924



# Mn2AgSbO6 | the Alexandria database | PBE with a Hubbard U | optimized geometry
# Mass density: 5.88 Mg/m³
# E: -6.418 eV per atom
data_Mn2AgSbO6
_chemical_formula_sum 'Mn6 Ag3 Sb3 O18'
_cell_length_a 5.2960
_cell_length_b 5.2960
_cell_length_c 15.1825
_cell_angle_alpha 90.00
_cell_angle_beta 90.00
_cell_angle_gamma 120.00
_space_group_name_H-M_alt 'R 3'
_space_group_IT_number 146
_space_group_name_Hall 'R 3'
loop_
_atom_site_label
_atom_site_type_symbol
_atom_site_fract_x
_atom_site_fract_y
_atom_site_fract_z
Mn1 Mn 0.0000 0.0000 0.0000
Mn2 Mn 0.0000 0.0000 0.4833
Ag1 Ag 0.0000 0.0000 0.2706
Sb1 Sb 0.0000 0.0000 0.7995
O1 O 0.0094 0.3190 0.4050
O2 O 0.0791 0.7361 0.5527



# MnAgSeO2 | the Alexandria database | PBE with a Hubbard U | optimized geometry
# Mass density: 5.64 Mg/m³
# E: -4.526 eV per atom
data_MnAgSeO2
_chemical_formula_sum 'Mn1 Ag1 Se1 O2'
_cell_length_a 3.945
_cell_length_b 3.945
_cell_length_c 5.178
_cell_angle_alpha 90.00
_cell_angle_beta 90.00
_cell_angle_gamma 90.00
_space_group_name_H-M_alt 'P 4/m m m'
_space_group_IT_number 123
_space_group_name_Hall '-P 4 2'
loop_
_atom_site_label
_atom_site_type_symbol
_atom_site_fract_x
_atom_site_fract_y
_atom_site_fract_z
Mn1 Mn 0.000 0.000 0.000
Ag1 Ag 0.500 0.500 0.000
Se1 Se 0.000 0.000 0.500
O1 O 0.000 0.500 0.500



# MnAgSe2O8 | the Alexandria database | PBE with a Hubbard U | optimized geometry
# Mass density: 4.44 Mg/m³
# E: -5.411 eV per atom
data_MnAgSe2O8
_chemical_formula_sum 'Mn3 Ag3 Se6 O24'
_cell_length_a 4.9781
_cell_length_b 4.9781
_cell_length_c 23.4467
_cell_angle_alpha 90.00
_cell_angle_beta 90.00
_cell_angle_gamma 120.00
_space_group_name_H-M_alt 'R -3'
_space_group_IT_number 148
_space_group_name_Hall '-R 3'
loop_
_atom_site_label
_atom_site_type_symbol
_atom_site_fract_x
_atom_site_fract_y
_atom_site_fract_z
Mn1 Mn 0.0000 0.0000 0.0000
Ag1 Ag 0.0000 0.0000 0.5000
Se1 Se 0.0000 0.0000 0.2568
O1 O 0.0000 0.0000 0.1862
O2 O 0.0066 0.6539 0.3864



# MnAg2SeO4 | the Alexandria database | PBE with a Hubbard U | optimized geometry
# Mass density: 6.13 Mg/m³
# E: -5.023 eV per atom
data_MnAg2SeO4
_chemical_formula_sum 'Mn2 Ag4 Se2 O8'
_cell_length_a 5.854
_cell_length_b 5.854
_cell_length_c 6.536
_cell_angle_alpha 90.00
_cell_angle_beta 90.00
_cell_angle_gamma 90.00
_space_group_name_H-M_alt 'I -4'
_space_group_IT_number 82
loop_
_space_group_symop_operation_xyz
'x,y,z'
'y,-x,-z'
'-x,-y,z'
'-y,x,-z'
'x+1/2,y+1/2,z+1/2'
'y+1/2,-x+1/2,-z+1/2'
'-x+1/2,-y+1/2,z+1/2'
'-y+1/2,x+1/2,-z+1/2'
loop_
_atom_site_label
_atom_site_type_symbol
_atom_site_fract_x
_atom_site_fract_y
_atom_site_fract_z
Mn1 Mn 0.000 0.000 0.000
Ag1 Ag 0.000 0.000 0.500
Ag2 Ag 0.000 0.500 0.750
Se1 Se 0.000 0.500 0.250
O1 O 0.166 0.786 0.204



# TaMnAgO4 | the Alexandria database | PBE with a Hubbard U | optimized geometry
# Mass density: 5.60 Mg/m³
# E: -7.772 eV per atom
data_TaMnAgO4
_chemical_formula_sum 'Ta2 Mn2 Ag2 O8'
_cell_length_a 6.188
_cell_length_b 6.128
_cell_length_c 7.066
_cell_angle_alpha 90.00
_cell_angle_beta 115.60
_cell_angle_gamma 90.00
_space_group_name_H-M_alt 'P 1 21/m 1'
_space_group_IT_number 11
loop_
_space_group_symop_operation_xyz
'x,y,z'
'-x,-y,-z'
'-x,y+1/2,-z'
'x,-y+1/2,z'
loop_
_atom_site_label
_atom_site_type_symbol
_atom_site_fract_x
_atom_site_fract_y
_atom_site_fract_z
Ta1 Ta 0.083 0.250 0.361
Mn1 Mn 0.387 0.750 0.535
Ag1 Ag 0.446 0.250 0.928
O1 O 0.139 0.250 0.638
O2 O 0.261 0.750 0.773
O3 O 0.268 0.021 0.334



# MnAg2TeO6 | the Alexandria database | PBE with a Hubbard U | optimized geometry
# Mass density: 6.64 Mg/m³
# E: -5.298 eV per atom
data_MnAg2TeO6
_chemical_formula_sum 'Mn2 Ag4 Te2 O12'
_cell_length_a 9.889
_cell_length_b 5.509
_cell_length_c 5.384
_cell_angle_alpha 90.00
_cell_angle_beta 122.54
_cell_angle_gamma 90.00
_space_group_name_H-M_alt 'C 1 2/m 1'
_space_group_IT_number 12
loop_
_space_group_symop_operation_xyz
'x,y,z'
'-x,-y,-z'
'-x,y,-z'
'x,-y,z'
'x+1/2,y+1/2,z'
'-x+1/2,-y+1/2,-z'
'-x+1/2,y+1/2,-z'
'x+1/2,-y+1/2,z'
loop_
_atom_site_label
_atom_site_type_symbol
_atom_site_fract_x
_atom_site_fract_y
_atom_site_fract_z
Mn1 Mn 0.000 0.000 0.000
Ag1 Ag 0.239 0.000 0.757
Te1 Te 0.000 0.500 0.500
O1 O 0.062 0.249 0.808
O2 O 0.222 0.500 0.612



The highest mass density belongs to which entry? MnAg2TeO6



Look up the E of the third one. -6.324 eV per atom



The lowest mass density belongs to which entry? MnAgS2O8